{
  "formula": "Fe5Pb3",
  "functional": "PBE-GGA",
  "state": "relaxed",
  "polymorph_energy_kj_per_mol_atoms": 6.6,
  "dos_ef_per_ev_cell": 8.12,
  "lattice": [[3.3804, -4.3453, 0.0000], [3.3804, 4.3453, 0.0000], [0.0000, 0.0000, 4.6088]],
  "species": ["Fe", "Fe", "Fe", "Fe", "Fe", "Pb", "Pb", "Pb"],
  "fractional_positions": [[0.0000, 0.0000, 0.0000], [0.0000, 0.5000, 0.0000], [0.3102, 0.3102, 0.5000], [0.5000, 0.0000, 0.0000], [0.6898, 0.6898, 0.5000], [0.2038, 0.7962, 0.5000], [0.5000, 0.5000, 0.0000], [0.7962, 0.2038, 0.5000]]
}